(1)
# Tl2SiBr

Crystalline Tl2SiBr at its relaxed geometry (GGA-PBE, Alexandria).

a = 5.4664 Å, b = 6.1173 Å, c = 6.1173 Å
α = 33.10°, β = 90.00°, γ = 90.00°
Fractional positions:
Tl1 0.0000 0.0000 0.0000
Tl2 0.5000 0.2492 0.2492
Si1 0.0000 0.7360 0.7360
Br1 0.5000 0.5097 0.5097

Output
**Excess energy over the best structure of this formula in the dataset**: 0.025 eV per atom
**Uncorrected formation energy**: 0.087 eV per atom


(2)
# Ga2Co5Si2Ge

Crystalline Ga2Co5Si2Ge at its relaxed geometry (GGA-PBE, Alexandria).

a = 8.6829 Å, b = 8.6829 Å, c = 3.2692 Å
α = 90.00°, β = 90.00°, γ = 90.00°
Fractional positions:
Ga1 0.1685 0.3315 0.0000
Ga2 0.3315 0.8315 0.0000
Ga3 0.6685 0.1685 0.0000
Ga4 0.8315 0.6685 0.0000
Co1 0.0000 0.5000 0.5000
Co2 0.0906 0.8058 0.5000
Co3 0.1942 0.0906 0.5000
Co4 0.3058 0.5906 0.5000
Co5 0.4094 0.3058 0.5000
Co6 0.5000 0.0000 0.5000
Co7 0.5906 0.6942 0.5000
Co8 0.6942 0.4094 0.5000
Co9 0.8058 0.9094 0.5000
Co10 0.9094 0.1942 0.5000
Si1 0.1302 0.6302 0.0000
Si2 0.3698 0.1302 0.0000
Si3 0.6302 0.8698 0.0000
Si4 0.8698 0.3698 0.0000
Ge1 0.0000 0.0000 0.0000
Ge2 0.5000 0.5000 0.0000

Output
**Uncorrected formation energy**: -0.143 eV per atom


(3)
# Co2B2Rh

Crystalline Co2B2Rh at its relaxed geometry (GGA-PBE, Alexandria).

a = 5.8690 Å, b = 5.8690 Å, c = 2.6449 Å
α = 90.00°, β = 90.00°, γ = 90.00°
Fractional positions:
Co1 0.1570 0.3430 0.0000
Co2 0.3430 0.8430 0.0000
Co3 0.6570 0.1570 0.0000
Co4 0.8430 0.6570 0.0000
B1 0.1265 0.6265 0.5000
B2 0.3735 0.1265 0.5000
B3 0.6265 0.8735 0.5000
B4 0.8735 0.3735 0.5000
Rh1 0.0000 0.0000 0.5000
Rh2 0.5000 0.5000 0.5000

Output
**Excess energy over the best structure of this formula in the dataset**: 0.000 eV per atom
**E_form**: -125.6 meV per atom


(4)
# TcP2Pb

Crystalline TcP2Pb at its relaxed geometry (GGA-PBE, Alexandria).

a = 3.1118 Å, b = 3.1118 Å, c = 7.8599 Å
α = 90.00°, β = 90.00°, γ = 90.00°
Fractional positions:
Tc1 0.0000 0.0000 0.0000
P1 0.0000 0.0000 0.3080
P2 0.5000 0.5000 0.1320
Pb1 0.5000 0.5000 0.7037

Output
**E_form**: 87.5 meV per atom


(5)
# RbIn2PtAu

Crystalline RbIn2PtAu at its relaxed geometry (GGA-PBE, Alexandria).

a = 5.1660 Å, b = 5.1660 Å, c = 5.5376 Å
α = 90.00°, β = 90.00°, γ = 90.00°
Fractional positions:
Rb1 0.0000 0.0000 0.0000
In1 0.0000 0.5000 0.5000
In2 0.5000 0.0000 0.5000
Pt1 0.5000 0.5000 0.5000
Au1 0.5000 0.5000 0.0000

Output
**E_form**: -239.6 meV per atom


VASP energy in eV per cell, matching the order above: -11.48, -116.96, -71.09, -24.54, -16.96